## LaErHgPt (GGA-PBE)

Data for LaErHgPt after structural relaxation.

- total DFT energy (no corrections) (eV per cell) = -18.85
- formation energy (eV per atom) = -0.754

```
4
Lattice="5.209 0.000 0.000 2.605 4.511 0.000 2.605 1.504 4.253" Properties=species:S:1:pos:R:3 pbc="T T T"
La 5.209 3.007 2.127
Hg 2.605 1.504 1.063
Pt 7.814 4.511 3.190
Er 0.000 0.000 0.000
```


## LaErHgRh (GGA-PBE)

Data for LaErHgRh after structural relaxation.

- total DFT energy (no corrections) (eV per cell) = -19.36
- formation energy (eV per atom) = -0.555

```
4
Lattice="5.169 0.000 0.000 2.584 4.476 0.000 2.584 1.492 4.220" Properties=species:S:1:pos:R:3 pbc="T T T"
La 2.584 1.492 1.055
Rh 0.000 0.000 0.000
Hg 5.169 2.984 2.110
Er 7.753 4.476 3.165
```